Below is an optimized crystal structure of KTcPd, with properties calculated at the PBE level.

Cell: 4.230 4.231 11.335 Å, 90.82 90.13 119.95°
Space group P-1 (No. 2)
One atom of each set of equivalent atoms:
K 0.156 0.317 0.190 [2 per cell]
Tc 0.167 0.333 0.502 [2 per cell]
Pd 0.496 0.993 0.377 [2 per cell]

Summary:
Uncorrected energy   -5.31 eV per atom
Density of states at the Fermi level   0.599 states/eV/atom
ΔE to the lowest computed polymorph   0.000 eV/atom


Below is an optimized crystal structure of KZn3, with properties calculated at the PBE level.

Cell: 8.632 10.705 4.268 Å, 90.00 90.00 90.00°
Space group Cmcm (No. 63)
One atom of each set of equivalent atoms:
K 0.000 0.111 0.250 [4 per cell]
Zn 0.000 0.428 0.250 [4 per cell]
Zn 0.152 0.308 0.750 [8 per cell]

Summary:
Uncorrected energy   -0.97 eV per atom
Density of states at the Fermi level   0.360 states/eV/atom
ΔE to the lowest computed polymorph   0.286 eV/atom


Formation enthalpy at 0 K, respectively: 0.24; 0.26 eV/atom.